[1]
The following is a PBE calculation of a relaxed BaCd2Re crystal, from Alexandria.

The energy above the most stable polymorph in this dataset is 0.254 eV/atom. Its space group is No. 225. As for the formation enthalpy at 0 K: 0.869 eV/atom.

abc: 5.235 5.235 5.235
angles: 60.00 60.00 60.00
Last column: magnetic moment on the atom in μB.
Positions (direct):
Cd1 0.750 0.750 0.750  -0.03
Cd2 0.250 0.250 0.250  -0.03
Ba1 0.000 0.000 0.000  -0.06
Re1 0.500 0.500 0.500  1.48

[2]
The following is a PBE calculation of a relaxed BaCd2Re crystal, from Alexandria.

The energy above the most stable polymorph in this dataset is 0.038 eV/atom. Its space group is No. 6. As for the formation enthalpy at 0 K: 0.653 eV/atom.

abc: 4.649 3.041 7.347
angles: 85.88 90.00 90.00
Positions (direct):
Ba1 0.500 0.711 0.734
Re1 0.000 0.560 0.397
Cd1 0.500 0.100 0.310
Cd2 0.000 0.129 0.058

[3]
The following is a PBE calculation of a relaxed Ba2Cd2Re crystal, from Alexandria.

The energy above the most stable polymorph in this dataset is 0.000 eV/atom. Its space group is No. 127. As for the formation enthalpy at 0 K: 0.594 eV/atom.

abc: 7.508 7.508 5.523
angles: 90.00 90.00 90.00
Last column: magnetic moment on the atom in μB.
Positions (direct):
Cd1 0.142 0.358 0.000  -0.01
Ba1 0.185 0.685 0.500  -0.05
Ba2 0.685 0.815 0.500  -0.05
Ba3 0.315 0.185 0.500  -0.05
Re1 0.000 0.000 0.000  1.43
Cd2 0.642 0.142 0.000  -0.01
Cd3 0.358 0.858 0.000  -0.01
Cd4 0.858 0.642 0.000  -0.01
Re2 0.500 0.500 0.000  1.43
Ba4 0.815 0.315 0.500  -0.05

[4]
The following is a PBE calculation of a relaxed BaCd2Re crystal, from Alexandria.

The energy above the most stable polymorph in this dataset is 0.088 eV/atom. Its space group is No. 71. As for the formation enthalpy at 0 K: 0.702 eV/atom.

abc: 6.677 6.677 6.677
angles: 153.08 129.59 58.07
Positions (direct):
Cd1 0.547 0.547 0.000
Cd2 0.953 0.953 0.000
Re1 0.750 0.250 0.500
Ba1 0.250 0.750 0.500

[5]
The following is a PBE calculation of a relaxed Ba2CdRe crystal, from Alexandria.

Its space group is No. 38. As for the formation enthalpy at 0 K: 0.675 eV/atom.

abc: 4.868 4.850 6.504
angles: 68.11 90.00 90.00
Last column: magnetic moment on the atom in μB.
Positions (direct):
Cd1 0.000 0.679 0.516  -0.02
Re1 0.500 0.574 0.727  1.38
Ba1 0.000 0.981 0.914  -0.04
Ba2 0.500 0.266 0.343  -0.03

[6]
The following is a PBE calculation of a relaxed Ba2Cd2Re crystal, from Alexandria.

The energy above the most stable polymorph in this dataset is 0.156 eV/atom. Its space group is No. 139. As for the formation enthalpy at 0 K: 0.750 eV/atom.

abc: 6.626 6.626 6.238
angles: 57.92 57.92 90.00
Last column: magnetic moment on the atom in μB.
Positions (direct):
Cd1 0.333 0.333 0.335  0.00
Re1 0.000 0.000 0.000  2.02
Ba1 0.250 0.750 0.500  -0.03
Cd2 0.667 0.667 0.665  0.00
Ba2 0.750 0.250 0.500  -0.03

[7]
The following is a PBE calculation of a relaxed BaCd2Re crystal, from Alexandria.

The energy above the most stable polymorph in this dataset is 0.005 eV/atom. Its space group is No. 44. As for the formation enthalpy at 0 K: 0.619 eV/atom.

abc: 7.973 7.973 7.973
angles: 157.97 144.65 42.04
Positions (direct):
Cd1 0.667 0.167 0.500
Ba1 0.318 0.818 0.500
Cd2 0.009 0.009 0.000
Re1 0.506 0.506 0.000

[8]
The following is a PBE calculation of a relaxed BaCdRe crystal, from Alexandria.

The energy above the most stable polymorph in this dataset is 0.217 eV/atom. Its space group is No. 156. As for the formation enthalpy at 0 K: 1.125 eV/atom.

abc: 3.090 3.090 8.528
angles: 90.00 90.00 120.00
Positions (direct):
Cd1 0.667 0.333 0.370
Ba1 0.000 0.000 0.984
Re1 0.333 0.667 0.646

[9]
The following is a PBE calculation of a relaxed Ba2CdRe crystal, from Alexandria.

Its space group is No. 44. As for the formation enthalpy at 0 K: 0.716 eV/atom.

abc: 6.982 6.982 6.982
angles: 149.56 131.46 58.38
Last column: magnetic moment on the atom in μB.
Positions (direct):
Ba1 0.736 0.236 0.500  -0.04
Re1 0.273 0.773 0.500  1.19
Cd1 0.446 0.446 0.000  -0.01
Ba2 0.044 0.044 0.000  -0.04

[10]
The following is a PBE calculation of a relaxed BaCd2Re crystal, from Alexandria.

The energy above the most stable polymorph in this dataset is 0.313 eV/atom. Its space group is No. 119. As for the formation enthalpy at 0 K: 0.927 eV/atom.

abc: 5.663 5.663 5.663
angles: 131.10 131.10 71.65
Last column: magnetic moment on the atom in μB.
Positions (direct):
Cd1 0.250 0.750 0.500  -0.02
Re1 0.500 0.500 0.000  1.29
Ba1 0.750 0.250 0.500  -0.01
Cd2 0.000 0.000 0.000  -0.02

[11]
The following is a PBE calculation of a relaxed BaCd2Re crystal, from Alexandria.

The energy above the most stable polymorph in this dataset is 0.212 eV/atom. Its space group is No. 139. As for the formation enthalpy at 0 K: 0.827 eV/atom.

abc: 5.607 5.607 5.607
angles: 130.52 130.52 72.58
Last column: magnetic moment on the atom in μB.
Positions (direct):
Cd1 0.000 0.000 0.000  -0.03
Cd2 0.500 0.500 0.000  -0.03
Re1 0.250 0.750 0.500  1.52
Ba1 0.750 0.250 0.500  -0.01

[12]
The following is a PBE calculation of a relaxed Ba2CdRe crystal, from Alexandria.

Its space group is No. 160. As for the formation enthalpy at 0 K: 1.028 eV/atom.

abc: 11.312 11.312 11.312
angles: 18.69 18.69 18.69
Last column: magnetic moment on the atom in μB.
Positions (direct):
Cd1 0.483 0.483 0.483  0.01
Ba1 0.023 0.023 0.023  -0.01
Re1 0.760 0.760 0.760  0.66
Ba2 0.235 0.235 0.235  0.06

[13]
The following is a PBE calculation of a relaxed Ba2CdRe crystal, from Alexandria.

Its space group is No. 166. As for the formation enthalpy at 0 K: 0.936 eV/atom.

abc: 10.935 10.935 10.935
angles: 19.82 19.82 19.82
Positions (direct):
Ba1 0.013 0.013 0.013
Cd1 0.250 0.250 0.250
Re1 0.750 0.750 0.750
Ba2 0.487 0.487 0.487

[14]
The following is a PBE calculation of a relaxed BaCdRe crystal, from Alexandria.

The energy above the most stable polymorph in this dataset is 0.347 eV/atom. Its space group is No. 216. As for the formation enthalpy at 0 K: 1.255 eV/atom.

abc: 5.115 5.115 5.115
angles: 60.00 60.00 60.00
Last column: magnetic moment on the atom in μB.
Positions (direct):
Re1 0.750 0.750 0.750  2.40
Ba1 0.000 0.000 0.000  0.08
Cd1 0.500 0.500 0.500  -0.01

[15]
The following is a PBE calculation of a relaxed BaCdRe3 crystal, from Alexandria.

The energy above the most stable polymorph in this dataset is 1.047 eV/atom. Its space group is No. 221. As for the formation enthalpy at 0 K: 3.720 eV/atom.

abc: 5.054 5.054 5.054
angles: 90.00 90.00 90.00
Last column: magnetic moment on the atom in μB.
Positions (direct):
Re1 0.500 0.000 0.000  1.22
Ba1 0.000 0.000 0.000  0.03
Cd1 0.500 0.500 0.500  -0.04
Re2 0.000 0.500 0.000  1.22
Re3 0.000 0.000 0.500  1.20

[16]
The following is a PBE calculation of a relaxed Ba2CdRe crystal, from Alexandria.

Its space group is No. 10. As for the formation enthalpy at 0 K: 0.757 eV/atom.

abc: 4.004 3.385 9.913
angles: 70.28 90.00 90.00
Positions (direct):
Re1 0.500 0.750 0.750
Ba1 0.000 0.032 0.965
Ba2 0.000 0.468 0.535
Cd1 0.500 0.250 0.250

[17]
The following is a PBE calculation of a relaxed BaCd2Re crystal, from Alexandria.

The energy above the most stable polymorph in this dataset is 0.074 eV/atom. Its space group is No. 12. As for the formation enthalpy at 0 K: 0.688 eV/atom.

abc: 5.265 5.265 6.590
angles: 82.84 82.84 33.30
Positions (direct):
Cd1 0.484 0.484 0.566
Re1 0.750 0.750 0.750
Ba1 0.250 0.250 0.250
Cd2 0.016 0.016 0.934

[18]
The following is a PBE calculation of a relaxed Ba2CdRe crystal, from Alexandria.

Its space group is No. 119. As for the formation enthalpy at 0 K: 0.899 eV/atom.

abc: 6.067 6.067 6.067
angles: 131.98 131.98 70.27
Last column: magnetic moment on the atom in μB.
Positions (direct):
Ba1 0.000 0.000 0.000  -0.06
Re1 0.750 0.250 0.500  1.50
Cd1 0.500 0.500 0.000  -0.04
Ba2 0.250 0.750 0.500  -0.09

[19]
The following is a PBE calculation of a relaxed BaCd2Re crystal, from Alexandria.

The energy above the most stable polymorph in this dataset is 0.272 eV/atom. Its space group is No. 12. As for the formation enthalpy at 0 K: 0.886 eV/atom.

abc: 5.661 5.661 3.065
angles: 90.12 90.12 107.98
Last column: magnetic moment on the atom in μB.
Positions (direct):
Cd1 0.500 0.500 0.000  0.00
Re1 0.500 0.000 0.500  0.17
Ba1 0.000 0.500 0.500  0.00
Cd2 0.000 0.000 0.000  0.00

[20]
The following is a PBE calculation of a relaxed BaCd2Re crystal, from Alexandria.

The energy above the most stable polymorph in this dataset is 0.037 eV/atom. Its space group is No. 123. As for the formation enthalpy at 0 K: 0.651 eV/atom.

abc: 3.263 3.263 9.019
angles: 90.00 90.00 90.00
Last column: magnetic moment on the atom in μB.
Positions (direct):
Re1 0.500 0.500 0.250  1.35
Cd1 0.000 0.000 0.445  0.02
Cd2 0.000 0.000 0.055  0.02
Ba1 0.500 0.500 0.750  0.04

[21]
The following is a PBE calculation of a relaxed BaCdRe crystal, from Alexandria.

The energy above the most stable polymorph in this dataset is 0.127 eV/atom. Its space group is No. 187. As for the formation enthalpy at 0 K: 1.035 eV/atom.

abc: 5.325 5.325 3.015
angles: 90.00 90.00 120.00
Positions (direct):
Re1 0.333 0.667 0.500
Ba1 0.000 0.000 0.000
Cd1 0.667 0.333 0.500

[22]
The following is a PBE calculation of a relaxed Ba2CdRe crystal, from Alexandria.

Its space group is No. 8. As for the formation enthalpy at 0 K: 0.716 eV/atom.

abc: 6.506 6.506 5.933
angles: 71.77 71.77 32.01
Last column: magnetic moment on the atom in μB.
Positions (direct):
Ba1 0.772 0.772 0.711  -0.04
Cd1 0.550 0.550 0.491  -0.01
Ba2 0.961 0.961 0.070  -0.05
Re1 0.217 0.217 0.227  1.12

[23]
The following is a PBE calculation of a relaxed BaCd2ReRh crystal, from Alexandria.

Its space group is No. 123. As for the formation enthalpy at 0 K: 0.428 eV/atom.

abc: 5.344 4.771 5.344
angles: 90.00 90.00 90.00
Positions (direct):
Ba1 0.500 0.500 0.500
Cd1 0.000 0.000 0.500
Re1 0.000 0.000 0.000
Rh1 0.000 0.500 0.000
Cd2 0.500 0.000 0.000

[24]
The following is a PBE calculation of a relaxed BaCd2ReSe crystal, from Alexandria.

The raw formation energy is 1.804 eV per atom. Its space group is No. 123.

abc: 6.544 5.975 6.544
angles: 90.00 90.00 90.00
Last column: magnetic moment on the atom in μB.
Positions (direct):
Cd1 0.500 0.000 0.000  0.01
Se1 0.500 0.500 0.500  0.60
Re1 0.000 0.500 0.000  3.29
Cd2 0.000 0.000 0.500  0.01
Ba1 0.000 0.000 0.000  -0.04

[25]
The following is a PBE calculation of a relaxed Ba2CdReSi crystal, from Alexandria.

The raw formation energy is 1.045 eV per atom. Its space group is No. 123.

abc: 6.345 4.806 6.345
angles: 90.00 90.00 90.00
Last column: magnetic moment on the atom in μB.
Positions (direct):
Cd1 0.000 0.500 0.000  -0.01
Re1 0.500 0.500 0.500  3.03
Si1 0.000 0.000 0.000  0.03
Ba1 0.500 0.000 0.000  -0.04
Ba2 0.000 0.000 0.500  -0.03

[26]
The following is a PBE calculation of a relaxed Ba2TiCdRe crystal, from Alexandria.

Its space group is No. 123. As for the formation enthalpy at 0 K: 1.632 eV/atom.

abc: 6.033 5.240 6.033
angles: 90.00 90.00 90.00
Last column: magnetic moment on the atom in μB.
Positions (direct):
Cd1 0.000 0.500 0.000  0.06
Re1 0.500 0.500 0.500  3.36
Ba1 0.000 0.000 0.500  0.14
Ti1 0.000 0.000 0.000  1.68
Ba2 0.500 0.000 0.000  0.06

[27]
The following is a PBE calculation of a relaxed BaTl2CdRe crystal, from Alexandria.

Its space group is No. 123. As for the formation enthalpy at 0 K: 1.925 eV/atom.

abc: 6.420 6.307 6.420
angles: 90.00 90.00 90.00
Last column: magnetic moment on the atom in μB.
Positions (direct):
Tl1 0.500 0.000 0.000  -0.09
Re1 0.500 0.500 0.500  3.91
Cd1 0.000 0.500 0.000  -0.01
Tl2 0.000 0.000 0.500  -0.07
Ba1 0.000 0.000 0.000  -0.10

[28]
The following is a PBE calculation of a relaxed Ba2CdRh crystal, from Alexandria.

Its space group is No. 122. As for the formation enthalpy at 0 K: -0.152 eV/atom.

abc: 11.409 11.409 8.498
angles: 47.83 47.83 90.00
Positions (direct):
Rh1 0.250 0.750 0.500
Cd1 0.750 0.250 0.500
Rh2 0.500 0.500 0.000
Ba1 0.375 0.548 0.750
Ba2 0.875 0.702 0.750
Cd2 0.000 0.000 0.000
Ba3 0.298 0.625 0.250
Ba4 0.452 0.125 0.250

[29]
The following is a PBE calculation of a relaxed BaCd3Rh crystal, from Alexandria.

The energy above the most stable polymorph in this dataset is 0.022 eV/atom. Its space group is No. 1. As for the formation enthalpy at 0 K: -0.239 eV/atom.

abc: 5.915 7.775 5.918
angles: 92.18 76.02 87.76
Positions (direct):
Cd1 0.596 0.408 0.328
Cd2 0.652 0.868 0.769
Cd3 0.868 0.644 0.059
Rh1 0.160 0.895 0.900
Ba1 0.931 0.266 0.714
Cd4 0.783 0.027 0.243
Ba2 0.254 0.788 0.392
Cd5 0.308 0.185 0.111
Rh2 0.440 0.157 0.620
Cd6 0.385 0.526 0.846